The following is a DFT calculation (GGA-PBEsol) of an optimized crystal structure of SrZr2Au.

Cell and atoms, written as extended XYZ:
```
4
Lattice="-1.749 2.602 5.216 1.749 -2.602 5.216 1.749 2.602 -5.216" Properties=species:S:1:pos:R:3 pbc="T T T"
Sr 0.000 0.000 0.000
Zr 1.749 0.000 2.984
Zr 0.000 0.000 5.777
Au 0.000 2.602 2.677
```

## Properties
ΔH_f (0 K) in meV/atom: 144
SG: Imm2


The following is a DFT calculation (GGA-PBEsol) of an optimized crystal structure of BaPt2Au.

Cell and atoms, written as extended XYZ:
```
4
Lattice="-1.961 2.403 4.402 1.961 -2.403 4.402 1.961 2.403 -4.402" Properties=species:S:1:pos:R:3 pbc="T T T"
Ba 0.000 0.000 0.000
Pt 1.961 0.000 2.380
Pt 0.000 2.403 2.022
Au 0.000 0.000 4.402
```

## Properties
ΔH_f (0 K) in meV/atom: -2
Distance to the lowest polymorph of the same formula in eV/atom: 0.483
SG: Immm


The following is a DFT calculation (GGA-PBEsol) of an optimized crystal structure of AlTe3.

Cell and atoms, written as extended XYZ:
```
8
Lattice="3.893 0.000 0.000 0.000 6.289 0.000 0.000 0.000 8.786" Properties=species:S:1:pos:R:3 pbc="T T T"
Al 0.973 1.572 1.571
Al 2.920 4.716 7.215
Te 0.973 6.288 5.681
Te 0.973 3.145 5.681
Te 0.973 4.716 0.277
Te 2.920 0.001 3.105
Te 2.920 1.572 8.510
Te 2.920 3.144 3.105
```

## Properties
E_form (uncorrected) in eV/atom: -0.0033
SG: Pmmn


The following is a DFT calculation (GGA-PBEsol) of an optimized crystal structure of TlZnAu.

Cell and atoms, written as extended XYZ:
```
3
Lattice="-1.525 1.823 5.426 1.525 -1.823 5.426 1.525 1.823 -5.426" Properties=species:S:1:pos:R:3 pbc="T T T"
Tl 0.000 0.000 0.000
Zn 0.000 0.000 3.233
Au 0.000 0.000 7.561
```

## Properties
ΔH_f (0 K) in meV/atom: 20
SG: Imm2


The following is a DFT calculation (GGA-PBEsol) of an optimized crystal structure of Li4Mn3Cr5O16.

Cell and atoms, written as extended XYZ:
```
28
Lattice="4.904 -2.850 0.000 4.904 2.850 0.000 -0.057 0.000 9.295" Properties=species:S:1:pos:R:3 pbc="T T T"
Li 0.000 0.000 0.000
Li -0.008 0.000 4.724
Li 3.310 0.000 5.628
Li 6.604 0.000 1.023
Mn 4.099 1.402 2.654
Mn 4.099 -1.402 2.654
Mn 8.074 0.000 7.314
Cr 1.676 0.000 2.677
Cr 3.312 0.000 0.112
Cr 5.763 1.387 7.337
Cr 6.532 0.000 4.765
Cr 5.763 -1.387 7.337
O 9.766 0.000 6.473
O -0.004 0.000 1.748
O 2.600 1.257 1.507
O 4.049 1.436 8.333
O 1.635 0.000 8.354
O 5.711 1.445 3.715
O 3.335 0.000 3.659
O 4.762 0.000 1.507
O 2.600 -1.257 1.507
O 5.135 0.000 6.145
O 7.286 1.251 6.106
O 4.049 -1.436 8.333
O 6.542 0.000 8.410
O 5.711 -1.445 3.715
O 8.214 0.000 3.696
O 7.286 -1.251 6.106
```

## Properties
E_form (uncorrected) in eV/atom: -1.9385
SG: Cm


The following is a DFT calculation (GGA-PBEsol) of an optimized crystal structure of Sr3Ir2O7.

Cell and atoms, written as extended XYZ:
```
12
Lattice="2.737 -2.813 0.000 2.737 2.813 0.000 -2.642 0.000 10.249" Properties=species:S:1:pos:R:3 pbc="T T T"
Sr 0.000 0.000 0.000
Sr 0.080 0.000 3.793
Sr 2.752 0.000 6.457
Ir 0.075 0.000 8.215
Ir 2.756 0.000 2.035
O 1.529 1.530 1.990
O 0.070 0.000 6.204
O 1.303 1.530 8.259
O 2.737 0.000 0.000
O 1.529 -1.530 1.990
O 2.762 0.000 4.045
O 1.303 -1.530 8.259
```

## Properties
Distance to the lowest polymorph of the same formula in eV/atom: 0.051
E_form (uncorrected) in eV/atom: -1.7897
SG: C2/m


The following is a DFT calculation (GGA-PBEsol) of an optimized crystal structure of Li2MoSe.

Cell and atoms, written as extended XYZ:
```
4
Lattice="1.637 -2.398 0.000 1.637 2.398 0.000 0.000 0.000 8.828" Properties=species:S:1:pos:R:3 pbc="T T T"
Li 0.000 0.000 0.000
Li 1.637 0.000 2.623
Mo 1.637 0.000 6.534
Se 0.000 0.000 4.646
```

## Properties
E_form (uncorrected) in eV/atom: 0.1478
SG: Cmm2


The following is a DFT calculation (GGA-PBEsol) of an optimized crystal structure of CaTcAu2.

Cell and atoms, written as extended XYZ:
```
4
Lattice="3.457 0.000 0.000 0.000 3.457 0.000 0.000 0.000 6.249" Properties=species:S:1:pos:R:3 pbc="T T T"
Ca 0.000 0.000 0.000
Tc 1.729 1.729 1.886
Au 0.000 0.000 3.026
Au 1.729 1.729 4.626
```

## Properties
ΔH_f (0 K) in meV/atom: 232
Distance to the lowest polymorph of the same formula in eV/atom: 0.055
SG: P4mm


The following is a DFT calculation (GGA-PBEsol) of an optimized crystal structure of MgTiBe3.

Cell and atoms, written as extended XYZ:
```
5
Lattice="4.135 0.000 0.000 0.000 4.135 0.000 0.000 0.000 4.135" Properties=species:S:1:pos:R:3 pbc="T T T"
Mg 0.000 0.000 0.000
Ti 2.068 2.068 2.068
Be 0.000 0.000 2.068
Be 0.000 2.068 0.000
Be 2.068 0.000 0.000
```

## Properties
ΔH_f (0 K) in meV/atom: 1212
Distance to the lowest polymorph of the same formula in eV/atom: 0.000
SG: Pm-3m


The following is a DFT calculation (GGA-PBEsol) of an optimized crystal structure of Ba5Ca3.

Cell and atoms, written as extended XYZ:
```
16
Lattice="11.449 0.000 0.000 -5.724 9.915 0.000 0.000 0.000 7.539" Properties=species:S:1:pos:R:3 pbc="T T T"
Ba -1.368 2.369 1.885
Ba -4.357 7.546 5.654
Ba 2.735 0.000 1.885
Ba 1.368 2.369 5.654
Ba 0.000 6.610 0.000
Ba 0.000 6.610 3.770
Ba 5.724 3.305 0.000
Ba 5.724 3.305 3.770
Ba 8.714 0.000 5.654
Ba 4.357 7.546 1.885
Ca -2.369 4.104 5.654
Ca -3.355 5.811 1.885
Ca 4.738 0.000 5.654
Ca 2.369 4.104 1.885
Ca 6.710 0.000 1.885
Ca 3.355 5.811 5.654
```

## Properties
ΔH_f (0 K) in meV/atom: 90
Distance to the lowest polymorph of the same formula in eV/atom: 0.009
SG: P6_3/mcm


The following is a DFT calculation (GGA-PBEsol) of an optimized crystal structure of NaTeRu3.

Cell and atoms, written as extended XYZ:
```
5
Lattice="4.812 0.000 0.000 0.000 4.812 0.000 0.000 0.000 4.812" Properties=species:S:1:pos:R:3 pbc="T T T"
Na 0.000 0.000 0.000
Te 2.406 2.406 2.406
Ru 0.000 2.406 2.406
Ru 2.406 0.000 2.406
Ru 2.406 2.406 0.000
```

## Properties
E_form (uncorrected) in eV/atom: 1.4808
SG: Pm-3m


The following is a DFT calculation (GGA-PBEsol) of an optimized crystal structure of GaCu2IrI.

Cell and atoms, written as extended XYZ:
```
5
Lattice="4.764 0.000 0.000 0.000 4.764 0.000 0.000 0.000 4.921" Properties=species:S:1:pos:R:3 pbc="T T T"
Ga 0.000 0.000 0.000
Cu 0.000 2.382 2.460
Cu 2.382 0.000 2.460
Ir 2.382 2.382 0.000
I 2.382 2.382 2.460
```

## Properties
E_form (uncorrected) in eV/atom: 1.3649
SG: P4/mmm